# GGA+U Fe3SF, relaxed
# **Mass density**: 4.450 g cm⁻³
# **E_tot**: -4.14 eV/atom
data_Fe3SF
_symmetry_space_group_name_H-M 'P m -3 m'
_symmetry_Int_Tables_number 221
_symmetry_space_group_name_Hall '-P 4 2 3'
_cell_length_a 4.3371
_cell_length_b 4.3371
_cell_length_c 4.3371
_cell_angle_alpha 90.00
_cell_angle_beta 90.00
_cell_angle_gamma 90.00
loop_
_atom_site_label
_atom_site_type_symbol
_atom_site_fract_x
_atom_site_fract_y
_atom_site_fract_z
Fe1 Fe 0.0000 0.0000 0.5000
S1 S 0.0000 0.0000 0.0000
F1 F 0.5000 0.5000 0.5000